Compound: Cs2Cu2NiF6
Source: the Alexandria database
Functional: PBE with a Hubbard U
Structure: optimized geometry

Cell: 10.5719 6.4322 6.3416 Å, 90.00 117.80 90.00°
With the nearest neighbours (Å) after each atom.
Space group C2/m (No. 12)
Inequivalent atoms, fractional coordinates:
Cs1 0.2274 0.0000 0.1824 [4 per cell]  10 F 2.98-3.31, 1 Cu 3.33
Cu1 0.0550 0.5000 0.2310 [4 per cell]  2 F 1.92
Ni1 0.0000 0.0000 0.5000 [2 per cell]  6 F 2.03-2.07
F1 0.0068 0.2189 0.2663 [8 per cell]  1 Cu 1.92, 1 Ni 2.07
F2 0.2172 0.0000 0.6848 [4 per cell]  1 Ni 2.03, 1 Cu 2.21

Output
total magnetization	4.4	μB/cell
electronic total energy	-4.092	eV per atom